1.
The following is a PBE-GGA calculation of Sm6CuPd2 after structural relaxation, from Alexandria via LeMat-Bulk.

a = 6.777 Å, b = 7.333 Å, c = 10.203 Å
α = 90.00°, β = 87.89°, γ = 90.00°
Sites, in units of the cell vectors:
Cu 0.000 0.000 0.500
Cu 0.500 0.500 0.000
Sm 0.147 0.320 0.071
Sm 0.647 0.180 0.571
Sm 0.838 0.962 0.245
Sm 0.853 0.680 0.929
Sm 0.162 0.038 0.755
Sm 0.184 0.332 0.435
Sm 0.662 0.462 0.255
Sm 0.316 0.832 0.065
Sm 0.684 0.168 0.935
Sm 0.353 0.820 0.429
Sm 0.816 0.668 0.565
Sm 0.338 0.538 0.745
Pd 0.566 0.878 0.753
Pd 0.066 0.622 0.253
Pd 0.434 0.122 0.247
Pd 0.934 0.378 0.747

Calculated values
Formation enthalpy at 0 K   -3.06 eV per formula unit
D(E_F)   9.657 states/eV/f.u.
VASP energy   -5.095 eV/atom
SG   P2_1/c


2.
The following is a PBE-GGA calculation of La3TcCl2O6 after structural relaxation, from Alexandria via LeMat-Bulk.

a = 5.720 Å, b = 6.790 Å, c = 6.844 Å
α = 119.74°, β = 82.19°, γ = 90.00°
Site moments in Bohr magnetons follow the coordinates.
Sites, in units of the cell vectors:
O 0.694 0.290 0.116  0.04
O 0.694 0.826 0.116  0.04
O 0.336 0.156 0.311  0.02
O 0.306 0.174 0.884  0.04
O 0.664 0.844 0.689  0.02
O 0.306 0.710 0.884  0.04
La 0.500 0.000 0.500  0.02
La 0.500 0.500 0.500  0.02
La 0.000 0.500 0.000  0.02
Cl 0.119 0.717 0.435  0.00
Cl 0.881 0.283 0.565  0.00
Tc 0.500 0.000 0.000  1.53

Calculated values
D(E_F)   4.937 states/eV/f.u.
VASP energy   -7.176 eV/atom
SG   C2/m


3.
The following is a PBE-GGA calculation of LiThMgZn2 after structural relaxation, from Alexandria via LeMat-Bulk.

a = 4.111 Å, b = 4.111 Å, c = 6.897 Å
α = 107.34°, β = 107.34°, γ = 90.00°
Sites, in units of the cell vectors:
Mg 0.750 0.250 0.500
Th 0.000 0.000 0.000
Li 0.250 0.750 0.500
Zn 0.395 0.395 0.790
Zn 0.605 0.605 0.210

Calculated values
Formation enthalpy at 0 K   -0.57 eV per formula unit
D(E_F)   3.845 states/eV/f.u.
VASP energy   -2.809 eV/atom
SG   I-4m2